Record 1
A relaxed structure of SrAs2OsBr. Source: Alexandria, functional PBEsol.

SG	P4/mmm, No. 123
uncorrected formation energy	-0.19	eV per atom
N(E_F)	0.5640	states/eV per atom

Cell lengths 4.722, 4.722, 5.511 Å; angles 90.00, 90.00, 90.00 degrees
Fractional coordinates of all 5 atoms:
Sr 0.000 0.000 0.000
As 0.000 0.500 0.500
As 0.500 0.000 0.500
Os 0.500 0.500 0.500
Br 0.500 0.500 0.000

=====

Record 2
A relaxed structure of Al5Zn4. Source: Alexandria, functional PBEsol.

formation energy from the elements	0.0259	eV per atom
SG	I4/mmm, No. 139
N(E_F)	0.3314	states/eV per atom

Cell lengths 6.201, 6.201, 6.201 Å; angles 96.04, 96.04, 142.13 degrees
Fractional coordinates of all 9 atoms:
Al 0.000 0.000 0.000
Al 0.332 0.332 0.663
Al 0.332 0.668 0.000
Al 0.668 0.332 0.000
Al 0.668 0.668 0.337
Zn 0.000 0.337 0.337
Zn 0.000 0.663 0.663
Zn 0.337 0.000 0.337
Zn 0.663 0.000 0.663

=====

Record 3
A relaxed structure of TcMo2Cl. Source: Alexandria, functional PBEsol.

SG	P4mm, No. 99
uncorrected formation energy	0.28	eV per atom
N(E_F)	0.4353	states/eV per atom

Cell lengths 2.926, 2.926, 6.855 Å; angles 90.00, 90.00, 90.00 degrees
Fractional coordinates of all 4 atoms:
Tc 0.000 0.000 0.000
Mo 0.000 0.000 0.505
Mo 0.500 0.500 0.772
Cl 0.500 0.500 0.269

=====

Record 4
A relaxed structure of CrFeP2. Source: Alexandria, functional PBEsol.

formation energy from the elements	-0.3856	eV per atom
SG	Fm-3m, No. 225
N(E_F)	0.4899	states/eV per atom

Cell lengths 3.904, 3.904, 3.904 Å; angles 60.00, 60.00, 60.00 degrees
Fractional coordinates of all 4 atoms:
Cr 0.000 0.000 0.000
Fe 0.500 0.500 0.500
P 0.250 0.250 0.250
P 0.750 0.750 0.750

=====

Record 5
A relaxed structure of Ta3MnAl. Source: Alexandria, functional PBEsol.

formation energy from the elements	0.7183	eV per atom
SG	Pm-3m, No. 221
N(E_F)	0.6185	states/eV per atom

Cell lengths 4.529, 4.529, 4.529 Å; angles 90.00, 90.00, 90.00 degrees
Fractional coordinates of all 5 atoms:
Ta 0.000 0.000 0.500
Ta 0.000 0.500 0.000
Ta 0.500 0.000 0.000
Mn 0.000 0.000 0.000
Al 0.500 0.500 0.500

=====

Record 6
A relaxed structure of Dy4CdSe7. Source: Alexandria, functional PBEsol.

SG	Cm, No. 8
uncorrected formation energy	-1.63	eV per atom

Cell lengths 6.808, 6.808, 11.977 Å; angles 104.83, 104.83, 33.57 degrees
Fractional coordinates of all 12 atoms:
Dy 0.000 0.000 0.000
Dy 0.387 0.387 0.600
Dy 0.591 0.591 0.381
Dy 0.695 0.695 0.815
Cd 0.822 0.822 0.232
Se 0.034 0.034 0.756
Se 0.230 0.230 0.345
Se 0.357 0.357 0.855
Se 0.446 0.446 0.158
Se 0.663 0.663 0.033
Se 0.734 0.734 0.599
Se 0.967 0.967 0.457

=====

Record 7
A relaxed structure of CaErAl4. Source: Alexandria, functional PBEsol.

formation energy from the elements	-0.4061	eV per atom
SG	F-43m, No. 216
N(E_F)	0.4929	states/eV per atom

Cell lengths 5.539, 5.539, 5.539 Å; angles 60.00, 60.00, 60.00 degrees
Fractional coordinates of all 6 atoms:
Ca 0.000 0.000 0.000
Er 0.750 0.750 0.750
Al 0.375 0.375 0.375
Al 0.375 0.375 0.874
Al 0.375 0.874 0.375
Al 0.874 0.375 0.375

=====

Record 8
A relaxed structure of TaFe2Ag. Source: Alexandria, functional PBEsol.

formation energy from the elements	0.2621	eV per atom
SG	Fm-3m, No. 225
N(E_F)	1.2188	states/eV per atom

Cell lengths 4.234, 4.234, 4.234 Å; angles 60.00, 60.00, 60.00 degrees
Fractional coordinates of all 4 atoms:
Ta 0.000 0.000 0.000
Fe 0.250 0.250 0.250
Fe 0.750 0.750 0.750
Ag 0.500 0.500 0.500